Here is a geometry-optimized Ca2TePt structure from Alexandria via LeMat-Bulk. Energies are from PBE-GGA.

Results
Size of the total moment, μB/f.u.: 0.00
Energy relative to the elements, uncorrected, meV/atom: -1000
DFT total energy, eV per formula unit: -17.18
Space-group type: Imm2, No. 44

Geometry as extended XYZ:
```
8
Lattice="3.919 0.000 0.000 0.000 4.077 0.000 0.000 0.000 14.344" Properties=species:S:1:pos:R:3 pbc="T T T"
Ca 0.000 0.000 0.000
Ca 0.000 2.038 3.342
Ca 1.960 0.000 10.515
Ca 1.960 2.038 7.172
Te 0.000 0.000 5.783
Te 1.960 2.038 12.955
Pt 0.000 2.038 9.428
Pt 1.960 0.000 2.256
```